Record 1
# BaAgPt, optimized geometry, DFT GGA-PBE
data_BaAgPt
_cell_length_a 7.373
_cell_length_b 7.373
_cell_length_c 7.373
_cell_angle_alpha 90.00
_cell_angle_beta 90.00
_cell_angle_gamma 90.00
_space_group_name_H-M_alt 'P 1'
_space_group_IT_number 1
loop_
_space_group_symop_operation_xyz
'x,y,z'
loop_
_atom_site_label
_atom_site_fract_x
_atom_site_fract_y
_atom_site_fract_z
Ba1 0.000 0.000 0.000
Ba2 0.000 0.500 0.500
Ba3 0.500 0.000 0.500
Ba4 0.500 0.500 0.000
Ag1 0.250 0.250 0.250
Ag2 0.250 0.750 0.750
Ag3 0.750 0.250 0.750
Ag4 0.750 0.750 0.250
Pt1 0.250 0.250 0.750
Pt2 0.250 0.750 0.250
Pt3 0.750 0.250 0.250
Pt4 0.750 0.750 0.750
# space-group type	F-43m, No. 216
# calculated formation energy	268	meV per atom

=====

Record 2
# Mg2SiBPd6, optimized geometry, DFT GGA-PBE
data_Mg2SiBPd6
_cell_length_a 5.529
_cell_length_b 5.704
_cell_length_c 5.725
_cell_angle_alpha 72.60
_cell_angle_beta 66.18
_cell_angle_gamma 73.81
_space_group_name_H-M_alt 'P 1'
_space_group_IT_number 1
loop_
_space_group_symop_operation_xyz
'x,y,z'
loop_
_atom_site_label
_atom_site_fract_x
_atom_site_fract_y
_atom_site_fract_z
Mg1 0.208 0.281 0.307
Mg2 0.792 0.719 0.693
Si1 0.500 0.500 0.500
B1 0.000 0.000 0.000
Pd1 0.145 0.331 0.841
Pd2 0.277 0.866 0.667
Pd3 0.313 0.809 0.169
Pd4 0.687 0.191 0.831
Pd5 0.723 0.134 0.333
Pd6 0.855 0.669 0.159
# space-group type	P-1, No. 2
# formation energy from raw total energies	-533	meV per atom

=====

Record 3
# La2PmPr4Mg, optimized geometry, DFT GGA-PBE
data_La2PmPr4Mg
_cell_length_a 7.300
_cell_length_b 10.443
_cell_length_c 7.223
_cell_angle_alpha 90.00
_cell_angle_beta 90.11
_cell_angle_gamma 90.00
_space_group_name_H-M_alt 'P 1'
_space_group_IT_number 1
loop_
_space_group_symop_operation_xyz
'x,y,z'
loop_
_atom_site_label
_atom_site_fract_x
_atom_site_fract_y
_atom_site_fract_z
La1 0.000 0.000 0.000
La2 0.000 0.500 0.500
La3 0.500 0.000 0.500
La4 0.500 0.500 0.000
Pm1 0.000 0.000 0.500
Pm2 0.500 0.500 0.500
Pr1 0.250 0.250 0.246
Pr2 0.250 0.250 0.754
Pr3 0.250 0.750 0.246
Pr4 0.250 0.750 0.754
Pr5 0.750 0.250 0.246
Pr6 0.750 0.250 0.754
Pr7 0.750 0.750 0.246
Pr8 0.750 0.750 0.754
Mg1 0.000 0.500 0.000
Mg2 0.500 0.000 0.000
# space-group type	C2/m, No. 12
# calculated formation energy	3	meV per atom

=====

no.,calculated volume (Å³/cell)
1,400.7
2,155.0
3,550.7